First-principles (GGA-PBE) data for crystalline LiAlPt2 at its relaxed geometry, as listed in Alexandria via LeMat-Bulk.

abc: 2.809 2.809 7.740
angles: 90.00 90.00 90.00
Space group P4mm (No. 99)
Symmetry-distinct sites (fractional):
Li  0.000  0.000  0.000 (multiplicity 1)
Al  0.500  0.500  0.715 (multiplicity 1)
Pt  0.000  0.000  0.499 (multiplicity 1)
Pt  0.500  0.500  0.226 (multiplicity 1)

DFT formation energy = -445 meV per atom
N(E_F) = 0.515 states/eV per atom